# Au2Cl

Au2Cl after structural relaxation (PBE-GGA, Alexandria via LeMat-Bulk). Values from VASP.

```
&SYSTEM
  ibrav = 0, nat = 6, ntyp = 2
/
ATOMIC_SPECIES
Au 196.97 Au.upf
Cl 35.45 Cl.upf
CELL_PARAMETERS angstrom
8.534 -1.945 0.000
8.534 1.945 0.000
-0.918 0.000 4.328
ATOMIC_POSITIONS angstrom
Au 0.753 0.000 1.143
Au 7.213 0.000 0.842
Au 8.937 0.000 3.485
Au 15.396 0.000 3.185
Cl 2.313 0.000 3.041
Cl 13.836 0.000 1.287
```

Properties
Magnetic moment = 0.000 μB per atom
Excess energy over the best structure of this formula in the dataset = 0.0000 eV per atom
VASP energy = -16.89 eV/cell
Formation energy without anion corrections = -0.014 eV/atom

=====

# Au2Cl

Au2Cl after structural relaxation (PBE-GGA, Alexandria via LeMat-Bulk). Values from VASP.

```
&SYSTEM
  ibrav = 0, nat = 6, ntyp = 2
/
ATOMIC_SPECIES
Au 196.97 Au.upf
Cl 35.45 Cl.upf
CELL_PARAMETERS angstrom
6.090 -1.674 0.000
6.090 1.674 0.000
-1.651 0.000 6.091
ATOMIC_POSITIONS angstrom
Au 1.611 0.000 2.070
Au 0.796 0.000 5.110
Au 9.733 0.000 0.981
Au 8.918 0.000 4.021
Cl 5.674 0.000 1.522
Cl 4.855 0.000 4.569
```

Properties
Magnetic moment = 0.000 μB per atom
Excess energy over the best structure of this formula in the dataset = 0.1155 eV per atom
VASP energy = -16.19 eV/cell
Formation energy without anion corrections = 0.102 eV/atom

=====

# Au2Cl

Au2Cl after structural relaxation (PBE-GGA, Alexandria via LeMat-Bulk). Values from VASP.

```
&SYSTEM
  ibrav = 0, nat = 6, ntyp = 2
/
ATOMIC_SPECIES
Au 196.97 Au.upf
Cl 35.45 Cl.upf
CELL_PARAMETERS angstrom
3.387 0.000 0.000
-1.694 2.934 0.000
0.000 0.000 12.191
ATOMIC_POSITIONS angstrom
Au 0.000 1.956 0.977
Au 0.000 1.956 5.118
Au 1.694 0.978 7.072
Au 1.694 0.978 11.214
Cl 0.000 0.000 3.048
Cl 0.000 0.000 9.143
```

Properties
Magnetic moment = 0.000 μB per atom
Excess energy over the best structure of this formula in the dataset = 0.1720 eV per atom
VASP energy = -15.85 eV/cell
Formation energy without anion corrections = 0.158 eV/atom

=====

# AuCl

AuCl after structural relaxation (PBE-GGA, Alexandria via LeMat-Bulk). Values from VASP.

```
&SYSTEM
  ibrav = 0, nat = 8, ntyp = 2
/
ATOMIC_SPECIES
Au 196.97 Au.upf
Cl 35.45 Cl.upf
CELL_PARAMETERS angstrom
-3.575 3.575 4.352
3.575 -3.575 4.352
3.575 3.575 -4.352
ATOMIC_POSITIONS angstrom
Au 0.000 0.000 0.000
Au 1.787 1.787 -2.176
Au 1.787 -1.787 2.176
Au 0.000 3.575 0.000
Cl 3.575 1.787 -0.685
Cl 0.000 1.787 1.491
Cl 3.575 1.787 2.860
Cl 0.000 1.787 5.036
```

Properties
Magnetic moment = 0.000 μB per atom
VASP energy = -22.17 eV/cell
Formation energy without anion corrections = -0.209 eV/atom